(1)
Computed, not measured: a relaxed structure of SnOsNF2 at the PBE level of DFT.

Formation energy from raw total energies: 272 kJ/mol of formula units
Energy above the most stable polymorph in this dataset: 913 meV/atom

Cell lengths 4.2708, 4.2708, 4.1610 Å; angles 90.00, 90.00, 90.00 degrees
Last column: magnetic moment on the atom in μB.
Atoms (fractional coordinates):
F  0.0000  0.5000  0.0000  0.05
F  0.5000  0.0000  0.0000  0.05
Sn  0.0000  0.0000  0.0000  0.01
N  0.0000  0.0000  0.5000  0.07
Os  0.5000  0.5000  0.5000  3.13

(2)
Computed, not measured: a relaxed structure of Li2HoPuPt2 at the PBE level of DFT.

Formation enthalpy at 0 K: -0.651 eV per atom

Cell lengths 4.3982, 4.3982, 6.8780 Å; angles 90.00, 90.00, 120.00 degrees
Last column: magnetic moment on the atom in μB.
Atoms (fractional coordinates):
Pt  0.6667  0.3333  0.7528  -0.04
Pt  0.3333  0.6667  0.2472  -0.04
Ho  0.0000  0.0000  0.5000  0.15
Li  0.3333  0.6667  0.7379  0.03
Li  0.6667  0.3333  0.2621  0.03
Pu  0.0000  0.0000  0.0000  5.23

(3)
Computed, not measured: a relaxed structure of TlCuRuO4 at the PBE level of DFT.

Formation energy from raw total energies: -467 kJ/mol of formula units

Cell lengths 5.9256, 6.6479, 6.3451 Å; angles 118.50, 90.00, 116.47 degrees
Last column: magnetic moment on the atom in μB.
Atoms (fractional coordinates):
Ru  0.5000  0.0000  0.5000  0.92
Ru  0.5000  0.0000  0.0000  0.92
O  0.7242  0.0301  0.7650  0.08
O  0.3023  0.6046  0.3566  0.00
O  0.3023  0.6046  0.7479  0.00
O  0.6941  0.9699  0.2350  0.08
O  0.3059  0.0301  0.7650  0.08
O  0.6977  0.3954  0.2521  0.00
O  0.2758  0.9699  0.2350  0.08
O  0.6977  0.3954  0.6434  0.00
Tl  0.8323  0.6646  0.0823  -0.01
Tl  0.1677  0.3354  0.9177  -0.01
Cu  0.5000  0.5000  0.5000  -0.05
Cu  0.0000  0.5000  0.5000  -0.05

(4)
Computed, not measured: a relaxed structure of TbHoIrAu at the PBE level of DFT.

Formation enthalpy at 0 K: -0.841 eV per atom
Energy above the most stable polymorph in this dataset: 0 meV/atom

Cell lengths 3.5192, 3.5192, 7.0371 Å; angles 90.00, 90.00, 90.00 degrees
Atoms (fractional coordinates):
Au  0.0000  0.0000  0.3615
Tb  0.5000  0.5000  0.0896
Ho  0.5000  0.5000  0.6232
Ir  0.0000  0.0000  0.8537

(5)
Computed, not measured: a relaxed structure of TaCoSb2 at the PBE level of DFT.

Formation energy from raw total energies: 104 kJ/mol of formula units

Cell lengths 8.6326, 8.6326, 8.6326 Å; angles 21.39, 21.39, 21.39 degrees
Last column: magnetic moment on the atom in μB.
Atoms (fractional coordinates):
Ta  0.2500  0.2500  0.2500  -0.02
Sb  0.4910  0.4910  0.4910  0.00
Sb  0.0090  0.0090  0.0090  0.00
Co  0.7500  0.7500  0.7500  0.90

(6)
Computed, not measured: a relaxed structure of Ta2CuB2 at the PBE level of DFT.

Formation enthalpy at 0 K: -0.501 eV per atom

Cell lengths 5.8824, 5.8824, 3.3241 Å; angles 90.00, 90.00, 90.00 degrees
Atoms (fractional coordinates):
B  0.8940  0.6060  0.0000
B  0.6060  0.1060  0.0000
B  0.1060  0.3940  0.0000
B  0.3940  0.8940  0.0000
Ta  0.6817  0.8183  0.5000
Ta  0.1817  0.6817  0.5000
Ta  0.8183  0.3183  0.5000
Ta  0.3183  0.1817  0.5000
Cu  0.5000  0.5000  0.0000
Cu  0.0000  0.0000  0.0000

(7)
Computed, not measured: a relaxed structure of USiTc at the PBE level of DFT.

Formation energy from raw total energies: -131 kJ/mol of formula units
Energy above the most stable polymorph in this dataset: 0 meV/atom

Cell lengths 4.3211, 6.5981, 7.2900 Å; angles 90.00, 90.00, 90.00 degrees
Last column: magnetic moment on the atom in μB.
Atoms (fractional coordinates):
Tc  0.7500  0.9476  0.8605  -0.18
Tc  0.2500  0.4476  0.6395  -0.18
Tc  0.7500  0.5524  0.3605  -0.18
Tc  0.2500  0.0524  0.1395  -0.18
U  0.7500  0.1596  0.5133  1.25
U  0.2500  0.6596  0.9867  1.25
U  0.2500  0.8404  0.4867  1.25
U  0.7500  0.3404  0.0133  1.25
Si  0.7500  0.6180  0.6988  -0.01
Si  0.2500  0.1180  0.8012  -0.01
Si  0.7500  0.8820  0.1988  -0.01
Si  0.2500  0.3820  0.3012  -0.01

(8)
Computed, not measured: a relaxed structure of Li4Tm3Hg4 at the PBE level of DFT.

Formation enthalpy at 0 K: -0.301 eV per atom

Cell lengths 4.2988, 7.6925, 8.5398 Å; angles 116.77, 104.58, 90.00 degrees
Atoms (fractional coordinates):
Tm  0.0000  0.5000  0.0000
Tm  0.1163  0.1163  0.2325
Tm  0.8837  0.8837  0.7675
Hg  0.5000  0.2047  0.0000
Hg  0.7741  0.2741  0.5483
Hg  0.2259  0.7259  0.4517
Hg  0.5000  0.7953  0.0000
Li  0.6759  0.4881  0.3519
Li  0.3241  0.5119  0.6481
Li  0.6759  0.8638  0.3519
Li  0.3241  0.1362  0.6481